# 1
PBE BiRu, optimized geometry; symmetry = No. 70
1.0
0.0000 4.2277 6.8015
3.2388 0.0000 6.8015
3.2388 4.2277 0.0000
Bi Ru
4 4
Cartesian
2.4291 0.6012 5.1011
4.0485 2.7150 8.5019
2.4291 5.7403 5.1011
4.0485 7.8541 8.5019
2.4291 3.1707 3.8694
2.4291 3.1707 6.3328
4.0485 5.2846 7.2701
4.0485 5.2846 9.7336



# 2
PBE AcNd3Rh, optimized geometry; symmetry = No. 221
1.0
5.6610 0.0000 0.0000
0.0000 5.6610 0.0000
0.0000 0.0000 5.6610
Ac Nd Rh
1 3 1
Cartesian
0.0000 0.0000 0.0000
0.0000 2.8305 2.8305
2.8305 0.0000 2.8305
2.8305 2.8305 0.0000
2.8305 2.8305 2.8305



How do the records compare in mass density? In the order shown, they have 11.06 6.98 g/cm³.
How do the records compare in energy of formation? In the order shown, they have 580 -182 meV per atom.
How do the records compare in V? In the order shown, they have 23.28 36.28 Å³ per atom.